Material: LiZn2Cd
Method: DFT, SCAN
State: single point on PBEsol structure

```
LiZn2Cd
1.0
4.417 0.000 0.000
-2.209 3.840 0.047
0.000 2.496 3.644
Cd Zn Li
1 2 1
direct
0.500 0.000 0.500 Cd
0.250 0.500 0.250 Zn
0.000 0.000 0.000 Zn
0.750 0.500 0.750 Li
```

Crystal system: tetragonal
DFT formation energy, eV/atom: -0.160
DOS at the Fermi energy, states/eV/atom: 0.235
Space group: No. 119